# 1
This record from Alexandria describes CeSc3Cd2 after structural relaxation. The functional is PBE.

Results
For the energy, the calculation gives -4.623 eV/atom.

abc: 3.4450 3.4450 11.8681
angles: 90.00 90.00 90.00
With the nearest neighbours (Å) after each atom.
Space group P4/mmm (No. 123)
Asymmetric unit:
Ce  0.0000  0.0000  0.0000 x1  8 Sc 3.29, 4 Ce 3.44
Sc  0.5000  0.5000  0.1869 x2  4 Cd 3.06, 4 Ce 3.29
Sc  0.5000  0.5000  0.5000 x1  8 Cd 3.07
Cd  0.0000  0.0000  0.3429 x2  8 Sc 3.06-3.07



# 2
This record from Alexandria describes Cs2TbCdCl6 after structural relaxation. The functional is PBE.

Results
For the uncorrected formation energy, the calculation gives -1.8189 eV/atom.

abc: 7.9236 11.2064 7.9208
angles: 90.00 90.00 90.00
With the nearest neighbours (Å) after each atom.
Space group Pmmn (No. 59, origin choice 2)
Asymmetric unit:
Cs  0.2500  0.9999  0.2505 x4  12 Cl 3.95-3.98
Tb  0.2500  0.2500  0.7489 x2  6 Cl 2.66
Cd  0.2500  0.7500  0.7509 x2  6 Cl 2.94-2.95
Cl  0.0130  0.2500  0.5116 x4  1 Tb 2.66, 1 Cd 2.94
Cl  0.0129  0.2500  0.9860 x4  1 Tb 2.66, 1 Cd 2.95
Cl  0.2500  0.0129  0.7482 x4  1 Tb 2.66, 1 Cd 2.95



# 3
This record from Alexandria describes ScMoOs2 after structural relaxation. The functional is PBE.

Results
For the energy, the calculation gives -9.866 eV/atom.

abc: 2.7933 4.4673 5.1958
angles: 90.00 102.54 90.00
With the nearest neighbours (Å) after each atom.
Space group Pm (No. 6)
Asymmetric unit:
Sc  0.0000  0.0000  0.0000 x1  4 Os 2.67, 2 Sc 2.79, 2 Mo 2.81
Mo  0.7591  0.5000  0.2750 x1  4 Os 2.64-2.69, 2 Mo 2.79, 2 Sc 2.81
Os  0.2524  0.5000  0.7807 x1  2 Mo 2.65-2.69, 2 Sc 2.67, 4 Os 2.79-2.89
Os  0.5385  0.0000  0.4930 x1  2 Mo 2.64, 2 Sc 2.67, 4 Os 2.79-2.89



# 4
This record from Alexandria describes Tl4Bi3Se8 after structural relaxation. The functional is PBE.

Results
For the uncorrected formation energy, the calculation gives -0.2813 eV/atom.

abc: 12.1562 12.1026 8.5101
angles: 90.00 134.18 90.00
With the nearest neighbours (Å) after each atom.
Space group C2/m (No. 12)
Asymmetric unit:
Tl  0.0000  0.0000  0.0000 x2  6 Se 2.84-3.04
Tl  0.0000  0.5000  0.5000 x2  6 Se 3.10-3.16
Tl  0.2500  0.2500  0.0000 x4  6 Se 3.03-3.05
Bi  0.0000  0.0000  0.5000 x2  6 Se 2.95-2.96
Bi  0.2500  0.2500  0.5000 x4  6 Se 3.03-3.05
Se  0.0000  0.2428  0.0000 x4  3 Tl 2.94-3.04, 2 Bi 3.05
Se  0.0000  0.2434  0.5000 x4  3 Bi 2.95-3.04, 3 Tl 3.05-3.10
Se  0.2258  0.0000  0.9844 x4  4 Tl 2.84-3.16, 1 Bi 2.96
Se  0.2416  0.0000  0.4979 x4  3 Bi 2.95-3.03, 2 Tl 3.04-3.13



# 5
This record from Alexandria describes NaTbPb after structural relaxation. The functional is PBE.

Results
For the energy, the calculation gives -3.326 eV/atom.

abc: 3.5001 3.5001 15.0435
angles: 90.00 90.00 90.00
With the nearest neighbours (Å) after each atom.
Space group I4mm (No. 107)
Asymmetric unit:
Na  0.0000  0.0000  0.0000 x2  4 Pb 3.40, 4 Na 3.50
Tb  0.0000  0.0000  0.6982 x2  4 Pb 3.31, 4 Tb 3.50
Pb  0.0000  0.0000  0.3447 x2  4 Tb 3.31, 4 Na 3.40, 4 Pb 3.50



# 6
This record from Alexandria describes AcPm2Y8 after structural relaxation. The functional is PBE.

Results
The calculation puts the polymorph energy (0 for the lowest one) at 4 meV/atom.

abc: 19.4418 7.1619 5.5734
angles: 90.00 93.07 90.00
With the nearest neighbours (Å) after each atom.
Space group C2/m (No. 12)
Asymmetric unit:
Ac  0.0000  0.0000  0.0000 x2  10 Y 3.64-3.91
Pm  0.2146  0.5000  0.2465 x4  11 Y 3.26-3.61
Y  0.0469  0.5000  0.2392 x4  2 Y 3.15-3.51, 1 Pm 3.26
Y  0.1346  0.2690  0.7294 x8  4 Y 3.31-3.57, 3 Pm 3.50-3.60, 1 Ac 3.64
Y  0.1894  0.0000  0.2342 x4  4 Pm 3.35-3.61, 4 Y 3.53-3.57